KTa2AsO8: relaxed, PBE.

Output
energy = -94.23 eV for the cell shown
uncorrected formation energy = -2.092 eV/atom

a b c (Å): 5.5716 5.4089 9.1187
angles (deg): 69.58 72.21 59.00
Last column: nearest neighbours and their distance in Å.
Fractional coordinates of all 12 atoms:
K  0.5000  0.5000  0.5000  10 O 3.31-3.60
Ta  0.3033  0.2182  0.1752  4 O 1.78-1.91
Ta  0.6967  0.7818  0.8248  4 O 1.78-1.91
As  0.0000  0.0000  0.0000  6 O 1.84-1.85
O  0.8081  0.7611  0.6228  1 Ta 1.78
O  0.8121  0.4070  0.9688  1 As 1.84, 1 Ta 1.89
O  0.1919  0.2389  0.3772  1 Ta 1.78
O  0.1879  0.5930  0.0312  1 As 1.84, 1 Ta 1.89
O  0.7039  0.9745  0.1548  1 As 1.85, 1 Ta 1.91
O  0.2961  0.0255  0.8452  1 As 1.85, 1 Ta 1.91
O  0.1669  0.9745  0.1548  1 As 1.85, 1 Ta 1.91
O  0.8331  0.0255  0.8452  1 As 1.85, 1 Ta 1.91


KTaAsO5: relaxed, PBE.

Output
energy = -116.45 eV for the cell shown
uncorrected formation energy = -1.979 eV/atom

a b c (Å): 5.9981 5.9981 7.6483
angles (deg): 105.36 105.36 105.43
Last column: nearest neighbours and their distance in Å.
Fractional coordinates of all 16 atoms:
K  0.3261  0.6739  0.2500  7 O 2.64-2.78
K  0.6739  0.3261  0.7500  7 O 2.64-2.78
Ta  0.0000  0.0000  0.5000  6 O 1.97-2.04
Ta  0.0000  0.0000  0.0000  6 O 1.97-2.04
As  0.6885  0.3115  0.2500  4 O 1.84-1.86
As  0.3115  0.6885  0.7500  4 O 1.84-1.86
O  0.0499  0.9501  0.2500  2 Ta 1.97
O  0.9501  0.0499  0.7500  2 Ta 1.97
O  0.8895  0.2850  0.1032  1 As 1.86, 1 Ta 2.04
O  0.1105  0.7150  0.8968  1 As 1.86, 1 Ta 2.04
O  0.7150  0.1105  0.3968  1 As 1.86, 1 Ta 2.04
O  0.2850  0.8895  0.6032  1 As 1.86, 1 Ta 2.04
O  0.7705  0.6387  0.3988  1 As 1.84, 1 Ta 2.04
O  0.2295  0.3613  0.6012  1 As 1.84, 1 Ta 2.04
O  0.3613  0.2295  0.1012  1 As 1.84, 1 Ta 2.04
O  0.6387  0.7705  0.8988  1 As 1.84, 1 Ta 2.04


K2TaAsO6: relaxed, PBE.

Output
energy = -67.85 eV for the cell shown
uncorrected formation energy = -1.940 eV/atom

a b c (Å): 5.5088 5.5088 5.5087
angles (deg): 60.00 60.00 90.00
Last column: nearest neighbours and their distance in Å.
Fractional coordinates of all 10 atoms:
K  0.7500  0.2500  0.5000  12 O 2.75-2.76
K  0.2500  0.7500  0.5000  12 O 2.75-2.76
Ta  0.0000  0.0000  0.0000  6 O 2.01
As  0.5000  0.5000  0.0000  6 O 1.88
O  0.2581  0.2581  0.4838  1 As 1.88, 1 Ta 2.01
O  0.7419  0.7419  0.0000  1 As 1.88, 1 Ta 2.01
O  0.2581  0.7419  0.0000  1 As 1.88, 1 Ta 2.01
O  0.7419  0.2581  0.0000  1 As 1.88, 1 Ta 2.01
O  0.2581  0.2581  0.0000  1 As 1.88, 1 Ta 2.01
O  0.7419  0.7419  0.5162  1 As 1.88, 1 Ta 2.01


K3Tb3AsO8: relaxed, PBE.

Output
energy = -97.45 eV for the cell shown
uncorrected formation energy = -2.396 eV/atom

a b c (Å): 6.8038 6.8059 7.4371
angles (deg): 117.24 89.99 120.00
Last column: nearest neighbours and their distance in Å.
Fractional coordinates of all 15 atoms:
K  0.0000  0.0000  0.0000  6 O 2.79-2.80
K  0.0000  0.5000  0.0000  6 O 2.79-2.80
K  0.5000  0.5000  0.0000  6 O 2.79-2.80
Tb  0.5000  0.0000  0.5000  6 O 2.28-2.34
Tb  0.5000  0.5000  0.5000  6 O 2.28-2.34
Tb  0.0000  0.5000  0.5000  6 O 2.28-2.34
As  0.0000  0.0000  0.5000  6 O 2.07
O  0.2722  0.5444  0.3167  3 Tb 2.28
O  0.7278  0.4556  0.6833  3 Tb 2.28
O  0.7934  0.5870  0.3285  1 As 2.07
O  0.2066  0.4130  0.6715  1 As 2.07
O  0.7934  0.0348  0.3286  1 As 2.07
O  0.2066  0.9652  0.6714  1 As 2.07
O  0.2414  0.0349  0.3286  1 As 2.07
O  0.7586  0.9651  0.6714  1 As 2.07


KTbAs2O6: relaxed, PBE.

Output
energy = -62.64 eV for the cell shown
uncorrected formation energy = -1.786 eV/atom

a b c (Å): 5.7847 5.7847 6.8498
angles (deg): 65.02 65.02 60.00
Last column: nearest neighbours and their distance in Å.
Fractional coordinates of all 10 atoms:
K  0.0000  0.0000  0.0000  6 O 2.86
Tb  0.5000  0.5000  0.5000  6 O 2.29
As  0.7314  0.7314  0.8057  3 O 1.74
As  0.2686  0.2686  0.1943  3 O 1.74
O  0.0693  0.5048  0.7171  1 As 1.74
O  0.7088  0.0693  0.7171  1 As 1.74
O  0.4952  0.2912  0.2829  1 As 1.74
O  0.9307  0.4952  0.2829  1 As 1.74
O  0.2912  0.9307  0.2829  1 As 1.74
O  0.5048  0.7088  0.7171  1 As 1.74


KTcAs2O8: relaxed, PBE.

Output
energy = -74.94 eV for the cell shown
uncorrected formation energy = -1.209 eV/atom

a b c (Å): 5.4663 5.4663 9.3502
angles (deg): 73.00 73.00 60.00
Last column: nearest neighbours and their distance in Å.
Fractional coordinates of all 12 atoms:
K  0.0000  0.0000  0.0000  6 O 3.29
Tc  0.5000  0.5000  0.5000  6 O 1.95
As  0.7654  0.7654  0.7039  4 O 1.66-1.72
As  0.2346  0.2346  0.2961  4 O 1.66-1.72
O  0.7024  0.7024  0.8928  1 As 1.66
O  0.2976  0.2976  0.1072  1 As 1.66
O  0.3817  0.3823  0.3653  1 As 1.72
O  0.6177  0.6183  0.6347  1 As 1.72
O  0.1293  0.6177  0.6347  1 As 1.72
O  0.3823  0.8707  0.3653  1 As 1.72
O  0.8707  0.3817  0.3653  1 As 1.72
O  0.6183  0.1293  0.6347  1 As 1.72


K2TcAsO6: relaxed, PBE.

Output
energy = -59.87 eV for the cell shown
uncorrected formation energy = -1.291 eV/atom

a b c (Å): 5.5259 5.5259 5.5262
angles (deg): 59.99 59.99 89.99
Last column: nearest neighbours and their distance in Å.
Fractional coordinates of all 10 atoms:
K  0.7500  0.2500  0.5000  12 O 2.76
K  0.2500  0.7500  0.5000  12 O 2.76
Tc  0.0000  0.0000  0.0000  6 O 1.98-1.99
As  0.5000  0.5000  0.0000  6 O 1.91-1.93
O  0.2552  0.2552  0.4900  1 As 1.91, 1 Tc 1.99
O  0.7467  0.7466  0.9994  1 As 1.93, 1 Tc 1.98
O  0.2537  0.7464  0.0000  1 As 1.92, 1 Tc 1.98
O  0.7463  0.2536  0.0000  1 As 1.92, 1 Tc 1.98
O  0.2533  0.2534  0.0006  1 As 1.93, 1 Tc 1.98
O  0.7448  0.7448  0.5100  1 As 1.91, 1 Tc 1.99


KTcAsO6: relaxed, PBE.

Output
energy = -58.39 eV for the cell shown
uncorrected formation energy = -1.392 eV/atom

a b c (Å): 5.1476 5.1476 5.9886
angles (deg): 90.00 90.00 60.00
Last column: nearest neighbours and their distance in Å.
Fractional coordinates of all 9 atoms:
K  0.0000  0.0000  0.0000  6 O 2.82
Tc  0.6667  0.6667  0.5000  6 O 1.93
As  0.3333  0.3333  0.5000  6 O 1.88
O  0.0064  0.4022  0.3178  1 As 1.88, 1 Tc 1.93
O  0.4021  0.0064  0.6822  1 As 1.88, 1 Tc 1.93
O  0.5914  0.4022  0.6822  1 As 1.88, 1 Tc 1.93
O  0.0063  0.5915  0.6822  1 As 1.88, 1 Tc 1.93
O  0.4021  0.5915  0.3178  1 As 1.88, 1 Tc 1.93
O  0.5914  0.0064  0.3178  1 As 1.88, 1 Tc 1.93